LaPuNi17: optimized geometry, PBE.

Unit cell a=6.287 b=6.287 c=6.287 alpha=83.15 beta=83.15 gamma=83.15
Atoms (fractional coordinates):
1 La 0.659 0.659 0.659
2 Pu 0.338 0.338 0.338
3 Ni 0.291 0.002 0.708
4 Ni 0.708 0.291 0.002
5 Ni 0.002 0.708 0.291
6 Ni 0.291 0.708 0.002
7 Ni 0.002 0.291 0.708
8 Ni 0.708 0.002 0.291
9 Ni 0.344 0.849 0.344
10 Ni 0.344 0.344 0.849
11 Ni 0.849 0.344 0.344
12 Ni 0.653 0.154 0.653
13 Ni 0.653 0.653 0.154
14 Ni 0.154 0.653 0.653
15 Ni 0.002 0.499 0.002
16 Ni 0.002 0.002 0.499
17 Ni 0.499 0.002 0.002
18 Ni 0.903 0.903 0.903
19 Ni 0.100 0.100 0.100

Summary:
E_tot, eV/cell: -119.939
Calculated density, g/cm³: 9.4
Energy relative to the elements, eV per formula unit: -2.40

---

La3PuNi8: optimized geometry, PBE.

Unit cell a=5.163 b=5.163 c=8.960 alpha=73.25 beta=73.25 gamma=60.00
Atoms (fractional coordinates):
1 La 0.376 0.376 0.871
2 La 0.996 0.996 0.011
3 La 0.503 0.503 0.492
4 Pu 0.874 0.874 0.377
5 Ni 0.938 0.436 0.190
6 Ni 0.440 0.938 0.685
7 Ni 0.436 0.436 0.190
8 Ni 0.938 0.938 0.685
9 Ni 0.188 0.188 0.435
10 Ni 0.687 0.687 0.938
11 Ni 0.436 0.938 0.190
12 Ni 0.938 0.440 0.685

Summary:
E_tot, eV/cell: -78.935
Calculated density, g/cm³: 9.6
Energy relative to the elements, eV per formula unit: -3.57

---

LaPuNi2: optimized geometry, PBE.

Unit cell a=3.474 b=3.474 c=6.779 alpha=90.00 beta=90.00 gamma=90.00
Atoms (fractional coordinates):
1 Ni 0.000 0.000 0.786
2 Ni 0.000 0.000 0.214
3 La 0.500 0.500 0.500
4 Pu 0.500 0.500 0.000

Summary:
E_tot, eV/cell: -31.306
Calculated density, g/cm³: 10.2
Energy relative to the elements, eV per formula unit: -0.48

---

LaPuNi: optimized geometry, PBE.

Unit cell a=3.510 b=3.510 c=6.488 alpha=105.69 beta=105.69 gamma=90.00
Atoms (fractional coordinates):
1 Ni 0.674 0.674 0.348
2 La 0.029 0.029 0.057
3 Pu 0.297 0.297 0.595

Summary:
E_tot, eV/cell: -25.088
Calculated density, g/cm³: 9.9
Energy relative to the elements, eV per formula unit: -0.05

---

La2PuNi: optimized geometry, PBE.

Unit cell a=3.573 b=3.573 c=8.544 alpha=90.00 beta=90.00 gamma=90.00
Atoms (fractional coordinates):
1 Ni 0.500 0.500 0.000
2 La 0.000 0.000 0.799
3 La 0.000 0.000 0.201
4 Pu 0.500 0.500 0.500

Summary:
E_tot, eV/cell: -30.017
Calculated density, g/cm³: 8.8
Energy relative to the elements, eV per formula unit: -0.05

---

LaPuNi2: optimized geometry, PBE.

Unit cell a=4.522 b=4.522 c=5.486 alpha=65.66 beta=65.66 gamma=60.00
Atoms (fractional coordinates):
1 Ni 0.781 0.781 0.657
2 Ni 0.219 0.219 0.343
3 La 0.000 0.000 0.000
4 Pu 0.500 0.500 0.500

Summary:
E_tot, eV/cell: -31.277
Calculated density, g/cm³: 9.7
Energy relative to the elements, eV per formula unit: -0.46